# 1
{"formula": "NdHo2Te4", "functional": "PBE", "state": "relaxed", "magnetic_moment_mub_per_fu": 0.00, "polymorph_energy_mev_per_atom": 15, "spacegroup": "Cmcm, No. 63", "e_form_raw_ev_per_atom": -1.38, "n_ef_per_ev_atom": 0.366, "crystal_system": "orthorhombic", "lattice": [[2.146, -7.165, 0.000], [2.146, 7.165, 0.000], [0.000, 0.000, 14.970]], "species": ["Nd", "Nd", "Ho", "Ho", "Ho", "Ho", "Te", "Te", "Te", "Te", "Te", "Te", "Te", "Te"], "fractional_positions": [[0.126, 0.874, 0.750], [0.874, 0.126, 0.250], [0.369, 0.631, 0.568], [0.369, 0.631, 0.932], [0.631, 0.369, 0.068], [0.631, 0.369, 0.432], [0.000, 0.000, 0.000], [0.000, 0.000, 0.500], [0.275, 0.725, 0.120], [0.275, 0.725, 0.380], [0.460, 0.540, 0.750], [0.540, 0.460, 0.250], [0.725, 0.275, 0.620], [0.725, 0.275, 0.880]]}

=====

# 2
{"formula": "NdHo3Te4", "functional": "PBE", "state": "relaxed", "magnetic_moment_mub_per_fu": 0.00, "spacegroup": "Cmmm, No. 65", "e_form_raw_ev_per_atom": -1.29, "n_ef_per_ev_atom": 0.598, "crystal_system": "orthorhombic", "lattice": [[4.450, -6.193, 0.000], [4.450, 6.193, 0.000], [0.000, 0.000, 4.304]], "species": ["Nd", "Ho", "Ho", "Ho", "Te", "Te", "Te", "Te"], "fractional_positions": [[0.000, 0.000, 0.000], [0.000, 0.500, 0.500], [0.500, 0.000, 0.500], [0.500, 0.500, 0.000], [0.254, 0.746, 0.000], [0.259, 0.259, 0.500], [0.741, 0.741, 0.500], [0.746, 0.254, 0.000]]}

=====

# 3
{"formula": "NdHoTe", "functional": "PBE", "state": "relaxed", "magnetic_moment_mub_per_fu": 0.41, "polymorph_energy_mev_per_atom": 22, "spacegroup": "P1, No. 1", "e_form_raw_ev_per_atom": -0.75, "n_ef_per_ev_atom": 1.153, "crystal_system": "triclinic", "lattice": [[5.807, 0.000, 0.000], [-0.100, 5.815, 0.000], [-1.439, -1.446, 5.856]], "species": ["Nd", "Nd", "Ho", "Ho", "Te", "Te"], "fractional_positions": [[0.000, 0.000, 0.000], [0.406, 0.910, 0.631], [0.500, 0.499, 0.999], [0.908, 0.404, 0.623], [0.359, 0.360, 0.424], [0.853, 0.852, 0.425]]}

=====

# 4
{"formula": "NdHoTe6", "functional": "PBE", "state": "relaxed", "magnetic_moment_mub_per_fu": 0.00, "spacegroup": "Amm2, No. 38", "e_form_raw_ev_per_atom": -0.94, "n_ef_per_ev_atom": 0.334, "crystal_system": "orthorhombic", "lattice": [[4.364, 0.000, 0.000], [0.000, 2.181, 13.502], [0.000, -2.181, 13.502]], "species": ["Nd", "Ho", "Te", "Te", "Te", "Te", "Te", "Te"], "fractional_positions": [[0.000, 0.000, 0.000], [0.500, 0.656, 0.656], [0.000, 0.122, 0.122], [0.000, 0.404, 0.404], [0.000, 0.748, 0.748], [0.500, 0.248, 0.248], [0.500, 0.537, 0.537], [0.500, 0.904, 0.904]]}

=====

# 5
{"formula": "NdHoTe", "functional": "PBE", "state": "relaxed", "magnetic_moment_mub_per_fu": 0.00, "polymorph_energy_mev_per_atom": 0, "spacegroup": "I4mm, No. 107", "e_form_raw_ev_per_atom": -0.78, "n_ef_per_ev_atom": 0.905, "crystal_system": "tetragonal", "lattice": [[-1.963, 1.963, 5.882], [1.963, -1.963, 5.882], [1.963, 1.963, -5.882]], "species": ["Nd", "Ho", "Te"], "fractional_positions": [[0.000, 0.000, 0.000], [0.309, 0.309, 0.000], [0.669, 0.669, 0.000]]}

=====

# 6
{"formula": "NdHo2Te4", "functional": "PBE", "state": "relaxed", "magnetic_moment_mub_per_fu": 0.00, "polymorph_energy_mev_per_atom": 0, "spacegroup": "C2/m, No. 12", "e_form_raw_ev_per_atom": -1.39, "n_ef_per_ev_atom": 0.425, "crystal_system": "monoclinic", "lattice": [[8.322, -2.187, 0.000], [8.322, 2.187, 0.000], [-3.393, 0.000, 6.768]], "species": ["Nd", "Ho", "Ho", "Te", "Te", "Te", "Te"], "fractional_positions": [[0.000, 0.000, 0.000], [0.255, 0.255, 0.268], [0.745, 0.745, 0.732], [0.126, 0.126, 0.461], [0.366, 0.366, 0.029], [0.634, 0.634, 0.971], [0.874, 0.874, 0.539]]}

=====

# 7
{"formula": "NdHo2Te", "functional": "PBE", "state": "relaxed", "magnetic_moment_mub_per_fu": 0.00, "polymorph_energy_mev_per_atom": 112, "spacegroup": "P4/mmm, No. 123", "e_form_raw_ev_per_atom": -0.54, "n_ef_per_ev_atom": 1.345, "crystal_system": "tetragonal", "lattice": [[3.857, 0.000, 0.000], [0.000, 3.857, 0.000], [0.000, 0.000, 8.037]], "species": ["Nd", "Ho", "Ho", "Te"], "fractional_positions": [[0.000, 0.000, 0.000], [0.500, 0.500, 0.281], [0.500, 0.500, 0.719], [0.000, 0.000, 0.500]]}

=====

# 8
{"formula": "Nd4Ho3Te8", "functional": "PBE", "state": "relaxed", "magnetic_moment_mub_per_fu": 0.00, "spacegroup": "C2/m, No. 12", "e_form_raw_ev_per_atom": -1.40, "n_ef_per_ev_atom": 0.462, "crystal_system": "monoclinic", "lattice": [[6.228, -6.232, 0.000], [6.228, 6.232, 0.000], [-6.223, 0.000, 6.236]], "species": ["Nd", "Nd", "Nd", "Nd", "Ho", "Ho", "Ho", "Te", "Te", "Te", "Te", "Te", "Te", "Te", "Te"], "fractional_positions": [[0.000, 0.000, 0.000], [0.000, 0.000, 0.500], [0.000, 0.500, 0.000], [0.500, 0.000, 0.000], [0.000, 0.500, 0.500], [0.500, 0.000, 0.500], [0.500, 0.500, 0.000], [0.254, 0.746, 0.000], [0.259, 0.741, 0.500], [0.263, 0.263, 0.018], [0.263, 0.263, 0.509], [0.737, 0.737, 0.491], [0.737, 0.737, 0.982], [0.741, 0.259, 0.500], [0.746, 0.254, 0.000]]}

=====

# 9
{"formula": "NdHoTe", "functional": "PBE", "state": "relaxed", "magnetic_moment_mub_per_fu": 0.00, "polymorph_energy_mev_per_atom": 15, "spacegroup": "C2/m, No. 12", "e_form_raw_ev_per_atom": -0.76, "n_ef_per_ev_atom": 1.073, "crystal_system": "monoclinic", "lattice": [[8.417, -2.018, 0.000], [8.417, 2.018, 0.000], [-0.571, 0.000, 11.199]], "species": ["Nd", "Nd", "Nd", "Nd", "Ho", "Ho", "Ho", "Ho", "Te", "Te", "Te", "Te"], "fractional_positions": [[0.025, 0.025, 0.352], [0.385, 0.385, 0.159], [0.615, 0.615, 0.841], [0.975, 0.975, 0.648], [0.193, 0.193, 0.081], [0.251, 0.251, 0.663], [0.749, 0.749, 0.337], [0.807, 0.807, 0.919], [0.380, 0.380, 0.458], [0.426, 0.426, 0.845], [0.574, 0.574, 0.155], [0.620, 0.620, 0.542]]}

=====

# 10
{"formula": "NdHo3Te3", "functional": "PBE", "state": "relaxed", "magnetic_moment_mub_per_fu": 0.94, "spacegroup": "R-3, No. 148", "e_form_raw_ev_per_atom": -0.94, "n_ef_per_ev_atom": 0.863, "crystal_system": "trigonal", "lattice": [[3.596, 2.076, 10.418], [-3.596, 2.076, 10.418], [0.000, -4.153, 10.418]], "species": ["Nd", "Nd", "Ho", "Ho", "Ho", "Ho", "Ho", "Ho", "Te", "Te", "Te", "Te", "Te", "Te"], "fractional_positions": [[0.167, 0.167, 0.167], [0.833, 0.833, 0.833], [0.030, 0.723, 0.380], [0.277, 0.620, 0.970], [0.380, 0.030, 0.723], [0.620, 0.970, 0.277], [0.723, 0.380, 0.030], [0.970, 0.277, 0.620], [0.124, 0.437, 0.755], [0.245, 0.876, 0.563], [0.437, 0.755, 0.124], [0.563, 0.245, 0.876], [0.755, 0.124, 0.437], [0.876, 0.563, 0.245]]}

=====

# 11
{"formula": "Nd3HoTe4", "functional": "PBE", "state": "relaxed", "magnetic_moment_mub_per_fu": 0.00, "polymorph_energy_mev_per_atom": 0, "spacegroup": "Cmmm, No. 65", "e_form_raw_ev_per_atom": -1.38, "n_ef_per_ev_atom": 0.638, "crystal_system": "orthorhombic", "lattice": [[4.522, -6.309, 0.000], [4.522, 6.309, 0.000], [0.000, 0.000, 4.395]], "species": ["Nd", "Nd", "Nd", "Ho", "Te", "Te", "Te", "Te"], "fractional_positions": [[0.000, 0.000, 0.000], [0.000, 0.500, 0.500], [0.500, 0.000, 0.500], [0.500, 0.500, 0.000], [0.255, 0.745, 0.000], [0.259, 0.259, 0.500], [0.741, 0.741, 0.500], [0.745, 0.255, 0.000]]}

=====

# 12
{"formula": "NdHoTe", "functional": "PBE", "state": "relaxed", "magnetic_moment_mub_per_fu": 0.00, "polymorph_energy_mev_per_atom": 276, "spacegroup": "P3m1, No. 156", "e_form_raw_ev_per_atom": -0.50, "n_ef_per_ev_atom": 1.297, "crystal_system": "trigonal", "lattice": [[5.204, 0.000, 0.000], [-2.602, 4.507, 0.000], [0.000, 0.000, 4.059]], "species": ["Nd", "Ho", "Te"], "fractional_positions": [[0.000, 0.000, 0.000], [0.667, 0.333, 0.490], [0.333, 0.667, 0.336]]}

=====

# 13
{"formula": "NdHo2Te", "functional": "PBE", "state": "relaxed", "magnetic_moment_mub_per_fu": 0.87, "polymorph_energy_mev_per_atom": 419, "spacegroup": "R-3m, No. 166", "e_form_raw_ev_per_atom": -0.24, "n_ef_per_ev_atom": 1.475, "crystal_system": "trigonal", "lattice": [[1.906, 1.100, 10.858], [-1.906, 1.100, 10.858], [0.000, -2.201, 10.858]], "species": ["Nd", "Ho", "Ho", "Te"], "fractional_positions": [[0.000, 0.000, 0.000], [0.104, 0.104, 0.104], [0.896, 0.896, 0.896], [0.500, 0.500, 0.500]]}

=====

# 14
{"formula": "NdHo2Te", "functional": "PBE", "state": "relaxed", "magnetic_moment_mub_per_fu": 0.00, "polymorph_energy_mev_per_atom": 0, "spacegroup": "Cmcm, No. 63", "e_form_raw_ev_per_atom": -0.66, "n_ef_per_ev_atom": 1.340, "crystal_system": "orthorhombic", "lattice": [[1.989, -6.111, 0.000], [1.989, 6.111, 0.000], [0.000, 0.000, 9.891]], "species": ["Nd", "Nd", "Ho", "Ho", "Ho", "Ho", "Te", "Te"], "fractional_positions": [[0.054, 0.946, 0.750], [0.946, 0.054, 0.250], [0.364, 0.636, 0.534], [0.364, 0.636, 0.966], [0.636, 0.364, 0.034], [0.636, 0.364, 0.466], [0.231, 0.769, 0.250], [0.769, 0.231, 0.750]]}

=====

# 15
{"formula": "Nd5Ho3Te8", "functional": "PBE", "state": "relaxed", "magnetic_moment_mub_per_fu": 0.00, "spacegroup": "R-3m, No. 166", "e_form_raw_ev_per_atom": -1.35, "n_ef_per_ev_atom": 0.727, "crystal_system": "trigonal", "lattice": [[4.409, 2.546, 7.349], [-4.409, 2.546, 7.349], [0.000, -5.092, 7.349]], "species": ["Nd", "Nd", "Nd", "Nd", "Nd", "Ho", "Ho", "Ho", "Te", "Te", "Te", "Te", "Te", "Te", "Te", "Te"], "fractional_positions": [[0.000, 0.000, 0.000], [0.000, 0.500, 0.500], [0.500, 0.000, 0.500], [0.500, 0.500, 0.000], [0.500, 0.500, 0.500], [0.000, 0.000, 0.500], [0.000, 0.500, 0.000], [0.500, 0.000, 0.000], [0.240, 0.750, 0.750], [0.245, 0.245, 0.245], [0.250, 0.250, 0.760], [0.250, 0.760, 0.250], [0.750, 0.240, 0.750], [0.750, 0.750, 0.240], [0.755, 0.755, 0.755], [0.760, 0.250, 0.250]]}

=====

# 16
{"formula": "NdHo6Te8", "functional": "PBE", "state": "relaxed", "magnetic_moment_mub_per_fu": 0.00, "polymorph_energy_mev_per_atom": 138, "spacegroup": "R-3, No. 148", "e_form_raw_ev_per_atom": -1.21, "n_ef_per_ev_atom": 0.612, "crystal_system": "trigonal", "lattice": [[4.643, 2.680, 6.152], [-4.643, 2.680, 6.152], [0.000, -5.361, 6.152]], "species": ["Nd", "Ho", "Ho", "Ho", "Ho", "Ho", "Ho", "Te", "Te", "Te", "Te", "Te", "Te", "Te", "Te"], "fractional_positions": [[0.000, 0.000, 0.000], [0.078, 0.693, 0.451], [0.307, 0.549, 0.922], [0.451, 0.078, 0.693], [0.549, 0.922, 0.307], [0.693, 0.451, 0.078], [0.922, 0.307, 0.549], [0.102, 0.374, 0.808], [0.192, 0.898, 0.626], [0.325, 0.325, 0.325], [0.374, 0.808, 0.102], [0.626, 0.192, 0.898], [0.675, 0.675, 0.675], [0.808, 0.102, 0.374], [0.898, 0.626, 0.192]]}

=====

# 17
{"formula": "NdHo2Te", "functional": "PBE", "state": "relaxed", "magnetic_moment_mub_per_fu": 0.00, "polymorph_energy_mev_per_atom": 131, "spacegroup": "R3m, No. 160", "e_form_raw_ev_per_atom": -0.52, "n_ef_per_ev_atom": 1.281, "crystal_system": "trigonal", "lattice": [[1.944, 1.123, 9.907], [-1.944, 1.123, 9.907], [0.000, -2.245, 9.907]], "species": ["Nd", "Ho", "Ho", "Te"], "fractional_positions": [[0.000, 0.000, 0.000], [0.237, 0.237, 0.237], [0.429, 0.429, 0.429], [0.833, 0.833, 0.833]]}

=====

# 18
{"formula": "NdHoTe3", "functional": "PBE", "state": "relaxed", "magnetic_moment_mub_per_fu": 0.00, "polymorph_energy_mev_per_atom": 0, "spacegroup": "Cmcm, No. 63", "e_form_raw_ev_per_atom": -1.41, "n_ef_per_ev_atom": 0.029, "crystal_system": "orthorhombic", "lattice": [[2.155, -7.120, 0.000], [2.155, 7.120, 0.000], [0.000, 0.000, 10.812]], "species": ["Nd", "Nd", "Ho", "Ho", "Te", "Te", "Te", "Te", "Te", "Te"], "fractional_positions": [[0.249, 0.751, 0.750], [0.751, 0.249, 0.250], [0.000, 0.000, 0.000], [0.000, 0.000, 0.500], [0.090, 0.910, 0.250], [0.353, 0.647, 0.062], [0.353, 0.647, 0.438], [0.647, 0.353, 0.562], [0.647, 0.353, 0.938], [0.910, 0.090, 0.750]]}

=====

# 19
{"formula": "Nd3HoTe4", "functional": "PBE", "state": "relaxed", "magnetic_moment_mub_per_fu": 0.00, "polymorph_energy_mev_per_atom": 20, "spacegroup": "P6_3/mmc, No. 194", "e_form_raw_ev_per_atom": -1.36, "n_ef_per_ev_atom": 0.635, "crystal_system": "hexagonal", "lattice": [[4.341, 0.000, 0.000], [-2.170, 3.759, 0.000], [0.000, 0.000, 30.776]], "species": ["Nd", "Nd", "Nd", "Nd", "Nd", "Nd", "Ho", "Ho", "Te", "Te", "Te", "Te", "Te", "Te", "Te", "Te"], "fractional_positions": [[0.000, 0.000, 0.000], [0.000, 0.000, 0.500], [0.333, 0.667, 0.126], [0.333, 0.667, 0.374], [0.667, 0.333, 0.626], [0.667, 0.333, 0.874], [0.333, 0.667, 0.750], [0.667, 0.333, 0.250], [0.000, 0.000, 0.190], [0.000, 0.000, 0.310], [0.000, 0.000, 0.690], [0.000, 0.000, 0.810], [0.333, 0.667, 0.563], [0.333, 0.667, 0.937], [0.667, 0.333, 0.063], [0.667, 0.333, 0.437]]}

=====

# 20
{"formula": "Nd2Ho3ThTe6", "functional": "PBE", "state": "relaxed", "magnetic_moment_mub_per_fu": 0.00, "spacegroup": "C2/m, No. 12", "e_form_raw_ev_per_atom": -1.26, "n_ef_per_ev_atom": 0.627, "crystal_system": "monoclinic", "lattice": [[9.769, -2.167, 0.000], [9.769, 2.167, 0.000], [-2.564, 0.000, 8.622]], "species": ["Nd", "Nd", "Ho", "Ho", "Ho", "Th", "Te", "Te", "Te", "Te", "Te", "Te"], "fractional_positions": [[0.160, 0.160, 0.320], [0.840, 0.840, 0.680], [0.167, 0.167, 0.830], [0.500, 0.500, 0.500], [0.833, 0.833, 0.170], [0.500, 0.500, 0.000], [0.006, 0.006, 0.742], [0.330, 0.330, 0.930], [0.334, 0.334, 0.414], [0.666, 0.666, 0.586], [0.670, 0.670, 0.070], [0.994, 0.994, 0.258]]}